Entry 1:
# SCAN Li2Ti3ZnO8, PBEsol geometry
data_Li2Ti3ZnO8
_cell_length_a 5.9157
_cell_length_b 5.9157
_cell_length_c 14.2930
_cell_angle_alpha 90.00
_cell_angle_beta 90.00
_cell_angle_gamma 120.00
_space_group_name_H-M_alt 'R 3 m'
_space_group_IT_number 160
_space_group_name_Hall 'R 3 -2"'
loop_
_atom_site_label
_atom_site_type_symbol
_atom_site_fract_x
_atom_site_fract_y
_atom_site_fract_z
Li1 Li 0.0000 0.0000 0.0000
Li2 Li 0.0000 0.0000 0.3817
Ti1 Ti 0.1695 0.3391 0.8325
Zn1 Zn 0.0000 0.0000 0.6168
O1 O 0.0000 0.0000 0.2416
O2 O 0.0000 0.0000 0.7578
O3 O 0.0271 0.5135 0.7631
O4 O 0.1805 0.3611 0.5744
# * ΔE_f (raw): -277.9 kJ/mol of atoms
# * total energy: -11.18 eV per atom

=====

Entry 2:
# SCAN AgAu2Cl, PBEsol geometry
data_AgAu2Cl
_cell_length_a 3.153
_cell_length_b 3.153
_cell_length_c 7.159
_cell_angle_alpha 90.00
_cell_angle_beta 90.00
_cell_angle_gamma 90.00
_space_group_name_H-M_alt 'P 4 m m'
_space_group_IT_number 99
loop_
_space_group_symop_operation_xyz
'x,y,z'
'-y,x,z'
'-x,-y,z'
'y,-x,z'
'-x,y,z'
'y,x,z'
'x,-y,z'
'-y,-x,z'
loop_
_atom_site_label
_atom_site_type_symbol
_atom_site_fract_x
_atom_site_fract_y
_atom_site_fract_z
Ag1 Ag 0.000 0.000 0.000
Au1 Au 0.000 0.000 0.477
Au2 Au 0.500 0.500 0.244
Cl1 Cl 0.500 0.500 0.765
# * ΔE_f (raw): -0.7 kJ/mol of atoms
# * total energy: -44.42 eV per atom

=====

| no. | energy above the lowest structure with this stoichiometry (meV per atom) |
| --- | --- |
| 1 | 38 |
| 2 | 0 |